Material: PuCrTeO2
Method: DFT, GGA+U
State: optimized geometry

Summary:
The energy is -8.782 eV/atom.

Cell: 5.544 12.305 5.501 Å, 90.00 90.00 90.00°
Space group Cmcm (No. 63)
One atom of each set of equivalent atoms:
Pu 0.000 0.100 0.250
Cr 0.000 0.453 0.250
Te 0.000 0.253 0.750
O 0.246 0.000 0.000